Arrangement one

# TaTcHg

TaTcHg after structural relaxation (PBE-GGA, Alexandria).

Summary:
density = 14847 kg/m³
N(E_F) = 0.2 states/eV/f.u.

```
TaTcHg
1.0
-1.685 1.685 4.721
1.685 -1.685 4.721
1.685 1.685 -4.721
Ta Tc Hg
1 1 1
direct
0.000 0.000 0.000
0.374 0.374 0.000
0.688 0.688 0.000
```

Arrangement two

# TaTcHg

TaTcHg after structural relaxation (PBE-GGA, Alexandria).

Summary:
density = 15189 kg/m³
N(E_F) = 1.6 states/eV/f.u.

```
TaTcHg
1.0
-1.399 2.150 4.358
1.399 -2.150 4.358
1.399 2.150 -4.358
Ta Tc Hg
1 1 1
direct
0.000 0.000 0.000
0.664 0.664 0.000
0.329 0.329 0.000
```

Most stable structure among those shown: arrangement one.